# Pm2Pr6Ga (PBE-GGA, relaxed)
data_Pm2Pr6Ga
_cell_length_a 10.1926
_cell_length_b 10.6308
_cell_length_c 5.6193
_cell_angle_alpha 90.00
_cell_angle_beta 90.00
_cell_angle_gamma 90.00
_space_group_name_H-M_alt 'P n n m'
_space_group_IT_number 58
loop_
_space_group_symop_operation_xyz
'x,y,z'
'-x,-y,-z'
'-x,-y,z'
'x,y,-z'
'x+1/2,-y+1/2,-z+1/2'
'-x+1/2,y+1/2,z+1/2'
'-x+1/2,y+1/2,-z+1/2'
'x+1/2,-y+1/2,z+1/2'
loop_
_atom_site_label
_atom_site_fract_x
_atom_site_fract_y
_atom_site_fract_z
Pm1 0.1944 0.2453 0.0000
Pr1 0.0192 0.3042 0.5000
Pr2 0.1330 0.8958 0.0000
Pr3 0.1923 0.5688 0.0000
Ga1 0.0000 0.0000 0.5000
# - Formation enthalpy at 0 K: -41 kJ/mol of formula units
# - Energy: -4.6259 eV/atom